1.
MgH2Pt: relaxed, GGA-PBE.

a = 4.3437 Å, b = 4.3437 Å, c = 5.3979 Å
α = 66.28°, β = 66.28°, γ = 90.00°
Atoms (fractional coordinates):
Mg: 0.2500 0.7500 0.5000
Mg: 0.5000 0.5000 0.0000
H: 0.6700 0.1250 0.2500
H: 0.8750 0.9200 0.7500
H: 0.3750 0.3300 0.7500
H: 0.0800 0.6250 0.2500
Pt: 0.0000 0.0000 0.0000
Pt: 0.7500 0.2500 0.5000

Total magnetization (μB/atom): 0.000
Volume (Å³/atom): 10.5
DFT total energy (eV per atom): -3.82
SG: No. 122

2.
MgH2Pt: relaxed, GGA-PBE.

a = 2.9657 Å, b = 3.2222 Å, c = 4.9819 Å
α = 108.82°, β = 107.15°, γ = 90.01°
Atoms (fractional coordinates):
Mg: 0.6820 0.4681 0.9678
Pt: 0.9943 0.7798 0.5894
H: 0.1861 0.9733 0.9755
H: 0.3799 0.6640 0.3567

Total magnetization (μB/atom): 0.000
Volume (Å³/atom): 10.7
DFT total energy (eV per atom): -3.87
SG: No. 8